An optimized crystal structure of CsAlMo2O8. Source: Alexandria via LeMat-Bulk, functional PBE with a Hubbard U.

## Properties
- VASP energy (eV/atom) = -6.8673
- V (A^3/atom) = 19.03
- size of the total moment (μB/f.u.) = 0.0
- polymorph energy (0 for the lowest one) (meV per atom) = 20

a = 5.3792 Å, b = 5.3792 Å, c = 9.6256 Å
α = 73.77°, β = 73.77°, γ = 60.00°
Closest atoms and distances in Å follow each position.
Element x y z (fractional)
Cs 0.5000 0.5000 0.5000  6 O 3.30
Al 0.0000 0.0000 0.0000  6 O 1.91
Mo 0.2725 0.2725 0.1826  4 O 1.77-1.80
Mo 0.7275 0.7275 0.8174  4 O 1.77-1.80
O 0.2078 0.2078 0.3765  1 Mo 1.77
O 0.6448 0.2114 0.1223  1 Mo 1.80, 1 Al 1.91
O 0.7922 0.7922 0.6235  1 Mo 1.77
O 0.0215 0.6448 0.1223  1 Mo 1.80, 1 Al 1.91
O 0.9785 0.3552 0.8777  1 Mo 1.80, 1 Al 1.91
O 0.2114 0.0215 0.1223  1 Mo 1.80, 1 Al 1.91
O 0.7886 0.9785 0.8777  1 Mo 1.80, 1 Al 1.91
O 0.3552 0.7886 0.8777  1 Mo 1.80, 1 Al 1.91